Record 1
A relaxed Na6InO4 crystal, computed with PBE.

Values from the calculation:
Total magnetization in μB/atom: 0.000
Energy in eV per atom: -4.0095
Theoretical density in g/cm3: 3.10
Crystal system: tetragonal

Cell and atoms, written as POSCAR:
```
Na6InO4
1.0
7.767 0.000 0.000
0.000 7.767 0.000
0.000 0.000 5.617
Na In O
12 2 8
Cartesian
0.307 4.191 1.404
0.307 7.459 1.404
1.942 1.942 0.903
1.942 1.942 3.711
3.576 4.191 1.404
3.576 7.459 1.404
4.191 0.307 4.213
4.191 3.576 4.213
5.825 5.825 1.906
5.825 5.825 4.715
7.459 0.307 4.213
7.459 3.576 4.213
1.942 5.825 4.213
5.825 1.942 1.404
0.015 1.942 2.431
1.942 0.015 5.239
1.942 3.868 5.239
3.868 1.942 2.431
3.899 5.825 3.187
5.825 3.899 0.378
5.825 7.751 0.378
7.751 5.825 3.187
```


Record 2
A relaxed NdSmDy2N4 crystal, computed with PBE.

Values from the calculation:
Total magnetization in μB/atom: 0.000
Energy in eV per atom: -8.0464
Theoretical density in g/cm3: 8.88
Crystal system: monoclinic

Cell and atoms, written as POSCAR:
```
NdSmDy2N4
1.0
6.142 0.000 0.000
0.000 3.548 0.000
-2.043 0.000 5.797
Nd Sm Dy N
1 1 2 4
Cartesian
0.000 0.000 0.000
3.071 1.774 0.000
-1.022 1.774 2.899
2.049 0.000 2.899
0.014 0.000 4.300
1.035 1.774 1.506
3.063 1.774 4.291
4.085 0.000 1.497
```